A plane-wave DFT calculation with PBE was carried out for an optimized crystal structure of Er5Te3Pt.

Output
- calculated total energy (eV/atom) = -5.035
- magnetic moment (μB/cell) = 0.061
- ρ (g/cm³) = 9.46
- symmetry = No. 189
- ΔE to the lowest computed polymorph (meV per atom) = 0.0

Lattice parameters (Å, degrees): 8.655 8.655 3.826 90.00 90.00 120.00
Sites, in units of the cell vectors:
Er (0.000, 0.234, 0.000)
Er (0.234, 0.000, 0.000)
Er (0.333, 0.667, 0.000)
Er (0.667, 0.333, 0.000)
Er (0.766, 0.766, 0.000)
Te (0.000, 0.555, 0.500)
Te (0.445, 0.445, 0.500)
Te (0.555, 0.000, 0.500)
Pt (0.000, 0.000, 0.500)